Record 1
# Eu2MgPt

Crystalline Eu2MgPt at its relaxed geometry (PBE-GGA, Alexandria).

Calculated values
* energy of formation from the pure elements: -520 meV/atom
* SG: P4/mmm, No. 123
* DOS(E_F): 14.37 states/eV/f.u.
* energy above the lowest structure with this stoichiometry: 0.000 kcal/mol of atoms

POSCAR file:
```
Eu2MgPt
1.0
3.715 0.000 0.000
0.000 3.715 0.000
0.000 0.000 7.941
Eu Mg Pt
2 1 1
direct
0.000 0.000 0.211
0.000 0.000 0.789
0.500 0.500 0.500
0.500 0.500 0.000
```


Record 2
# Ca2BeZn

Crystalline Ca2BeZn at its relaxed geometry (PBE-GGA, Alexandria).

Calculated values
* energy of formation from the pure elements: 90 meV/atom
* SG: P2/m, No. 10
* DOS(E_F): 2.46 states/eV/f.u.
* energy above the lowest structure with this stoichiometry: 1.662 kcal/mol of atoms

POSCAR file:
```
Ca2BeZn
1.0
3.589 0.000 0.000
0.000 3.561 0.000
-0.021 0.000 7.294
Ca Be Zn
2 1 1
direct
0.000 0.000 0.239
0.000 0.000 0.761
0.500 0.500 0.000
0.500 0.500 0.500
```


Record 3
# InAu3Cl

Crystalline InAu3Cl at its relaxed geometry (PBE-GGA, Alexandria).

Calculated values
* formation energy without anion corrections: 0.582 eV/atom
* SG: Pm-3m, No. 221
* DOS(E_F): 5.18 states/eV/f.u.
* energy above the lowest structure with this stoichiometry: 0.000 kcal/mol of atoms

POSCAR file:
```
InAu3Cl
1.0
5.252 0.000 0.000
0.000 5.252 0.000
0.000 0.000 5.252
In Au Cl
1 3 1
direct
0.000 0.000 0.000
0.000 0.000 0.500
0.000 0.500 0.000
0.500 0.000 0.000
0.500 0.500 0.500
```


Which of these has the highest energy above the lowest structure with this stoichiometry?
Ca2BeZn